Density functional theory data (PBE) for an optimized crystal structure of TiGa2Rh5.

Results
- electronic total energy (eV for the cell shown) = -111.4
- symmetry = I4/mmm
- calculated formation energy (eV per atom) = -0.623

CIF file:
```
data_TiGa2Rh5
_cell_length_a 4.058
_cell_length_b 4.058
_cell_length_c 13.789
_cell_angle_alpha 90.00
_cell_angle_beta 90.00
_cell_angle_gamma 90.00
_symmetry_space_group_name_H-M 'P 1'
_symmetry_Int_Tables_number 1
loop_
_symmetry_equiv_pos_as_xyz
'x,y,z'
loop_
_atom_site_label
_atom_site_fract_x
_atom_site_fract_y
_atom_site_fract_z
Ti1 0.000 0.000 0.000
Ti2 0.500 0.500 0.500
Ga1 0.000 0.000 0.250
Ga2 0.000 0.000 0.750
Ga3 0.500 0.500 0.250
Ga4 0.500 0.500 0.750
Rh1 0.000 0.000 0.500
Rh2 0.000 0.500 0.133
Rh3 0.000 0.500 0.367
Rh4 0.000 0.500 0.633
Rh5 0.000 0.500 0.867
Rh6 0.500 0.000 0.133
Rh7 0.500 0.000 0.367
Rh8 0.500 0.000 0.633
Rh9 0.500 0.000 0.867
Rh10 0.500 0.500 0.000
```